Below is TbDy3Er2 after structural relaxation, with properties calculated at the PBE level.

```
TbDy3Er2
1.0
5.5886 0.0039 0.0018
-2.7889 8.3410 -1.1119
-0.0003 -4.4100 8.5548
Dy Er Tb
6 4 2
Direct
0.3748 0.7495 0.3727
0.2498 0.4997 0.5810
0.6252 0.2505 0.6273
0.0002 0.0004 0.3339
0.9998 0.9996 0.6661
0.7502 0.5003 0.4190
0.4999 0.9999 0.8326
0.2498 0.4995 0.9149
0.5001 0.0001 0.1674
0.7502 0.5005 0.0851
0.8752 0.7504 0.8772
0.1248 0.2496 0.1228
```

Summary:
Its space group is P-1, No. 2. For the spin magnetization, the calculation gives 0.0 μB per cell. As for the formation energy: 0.07 eV/atom.